# TlRu3

An optimized crystal structure of TlRu3 (PBE-GGA, Alexandria via LeMat-Bulk).

## Properties
ΔH_f (0 K): 0.4999 eV per atom
crystal system: orthorhombic

abc: 2.8195 3.7923 6.0273
angles: 90.00 90.00 90.00
Last column: nearest neighbours and their distance in Å.
Sites, in units of the cell vectors:
Ru 0.5000 0.5000 0.7152  7 Ru 2.59-2.82
Ru 0.0000 0.0000 0.5000  10 Ru 2.70-2.82, 2 Tl 3.01
Ru 0.5000 0.5000 0.2848  7 Ru 2.59-2.82
Tl 0.0000 0.0000 0.0000  2 Tl 2.82, 10 Ru 2.92-3.01



# HgH3F

An optimized crystal structure of HgH3F (PBE-GGA, Alexandria via LeMat-Bulk).

## Properties
uncorrected energy: -1.6587 eV/atom
crystal system: cubic

abc: 3.6378 3.6378 3.6378
angles: 90.00 90.00 90.00
Last column: nearest neighbours and their distance in Å.
Sites, in units of the cell vectors:
H 0.5000 0.0000 0.0000  2 F 1.82
Hg 0.5000 0.5000 0.5000  12 H 2.57
H 0.0000 0.0000 0.5000  2 F 1.82
H 0.0000 0.5000 0.0000  2 F 1.82
F 0.0000 0.0000 0.0000  6 H 1.82



# PrPu2NpP4

An optimized crystal structure of PrPu2NpP4 (PBE-GGA, Alexandria via LeMat-Bulk).

## Properties
ΔH_f (0 K): -1.1180 eV per atom
crystal system: tetragonal

abc: 5.7067 5.7067 6.9916
angles: 114.09 114.09 90.00
Last column: nearest neighbours and their distance in Å.
Sites, in units of the cell vectors:
P 0.2426 0.2426 0.4851  3 Pu 2.77-2.85, 2 Np 2.85, 1 Pr 2.94
Pu 0.2500 0.7500 0.5000  6 P 2.85-2.91
Pu 0.0000 0.0000 0.0000  6 P 2.77-2.85
P 0.9952 0.4952 0.9904  1 Np 2.80, 3 Pu 2.85-2.91, 2 Pr 2.85
P 0.7574 0.7574 0.5149  3 Pu 2.77-2.85, 2 Np 2.85, 1 Pr 2.94
Np 0.7500 0.2500 0.5000  6 P 2.80-2.85
Pr 0.5000 0.5000 0.0000  6 P 2.85-2.94
P 0.5048 0.0048 0.0096  1 Np 2.80, 3 Pu 2.85-2.91, 2 Pr 2.85



# PrTh2Ir9

An optimized crystal structure of PrTh2Ir9 (PBE-GGA, Alexandria via LeMat-Bulk).

## Properties
ΔH_f (0 K): -0.6133 eV per atom
crystal system: trigonal

abc: 5.3807 5.3807 9.4262
angles: 73.42 73.42 60.00
Last column: nearest neighbours and their distance in Å.
Sites, in units of the cell vectors:
Ir 0.5814 0.0817 0.7555  7 Ir 2.66-2.75
Ir 0.5814 0.5814 0.7555  7 Ir 2.66-2.75
Ir 0.6673 0.6673 0.9980  6 Ir 2.66-2.69
Ir 0.9183 0.4186 0.2445  7 Ir 2.66-2.75
Th 0.8619 0.8619 0.4143  12 Ir 3.09-3.41
Ir 0.5000 0.5000 0.5000  6 Ir 2.75
Pr 0.0000 0.0000 0.0000  18 Ir 3.11-3.46
Th 0.1381 0.1381 0.5857  12 Ir 3.09-3.41
Ir 0.3327 0.3327 0.0020  6 Ir 2.66-2.69
Ir 0.4186 0.9183 0.2445  7 Ir 2.66-2.75
Ir 0.4186 0.4186 0.2445  7 Ir 2.66-2.75
Ir 0.0817 0.5814 0.7555  7 Ir 2.66-2.75



# Ba2LaTaCo

An optimized crystal structure of Ba2LaTaCo (PBE-GGA, Alexandria via LeMat-Bulk).

## Properties
ΔH_f (0 K): 1.0072 eV per atom
crystal system: tetragonal

abc: 6.2678 4.5168 6.2678
angles: 90.00 90.00 90.00
Last column: nearest neighbours and their distance in Å.
Sites, in units of the cell vectors:
Ba 0.5000 0.0000 0.0000  2 Ta 3.13
La 0.5000 0.5000 0.5000  8 Ba 3.86
Co 0.0000 0.5000 0.0000  2 Ta 2.26
Ta 0.0000 0.0000 0.0000  2 Co 2.26
Ba 0.0000 0.0000 0.5000  2 Ta 3.13



# PrSm4Er

An optimized crystal structure of PrSm4Er (PBE-GGA, Alexandria via LeMat-Bulk).

## Properties
ΔH_f (0 K): 0.2589 eV per atom
crystal system: cubic

abc: 6.6682 6.6682 6.6682
angles: 60.00 60.00 60.00
Last column: nearest neighbours and their distance in Å.
Sites, in units of the cell vectors:
Sm 0.6257 0.1230 0.6257  6 Sm 3.32-3.35
Er 0.0000 0.0000 0.0000  12 Sm 3.91, 4 Pr 4.08
Sm 0.6257 0.6257 0.1230  6 Sm 3.32-3.35
Sm 0.6257 0.6257 0.6257  6 Sm 3.32-3.35
Pr 0.2500 0.2500 0.2500  12 Sm 3.91, 4 Er 4.08
Sm 0.1230 0.6257 0.6257  6 Sm 3.32-3.35



# PuGaCoNi

An optimized crystal structure of PuGaCoNi (PBE-GGA, Alexandria via LeMat-Bulk).

## Properties
ΔH_f (0 K): -0.1536 eV per atom
crystal system: cubic

abc: 4.4441 4.4441 4.4441
angles: 60.00 60.00 60.00
Last column: nearest neighbours and their distance in Å.
Sites, in units of the cell vectors:
Pu 0.7500 0.7500 0.7500  4 Ni 2.72, 4 Co 2.72
Co 0.5000 0.5000 0.5000  4 Pu 2.72, 4 Ga 2.72
Ga 0.2500 0.2500 0.2500  4 Co 2.72, 4 Ni 2.72
Ni 0.0000 0.0000 0.0000  4 Pu 2.72, 4 Ga 2.72



# Nd2PaHg

An optimized crystal structure of Nd2PaHg (PBE-GGA, Alexandria via LeMat-Bulk).

## Properties
ΔH_f (0 K): 0.2101 eV per atom
crystal system: trigonal

abc: 3.3404 3.3404 12.0664
angles: 82.04 82.04 60.00
Last column: nearest neighbours and their distance in Å.
Sites, in units of the cell vectors:
Hg 0.5000 0.5000 0.5000  6 Nd 3.33, 6 Hg 3.34
Nd 0.9091 0.9091 0.2726  1 Pa 3.25, 3 Hg 3.33, 6 Nd 3.34
Pa 0.0000 0.0000 0.0000  2 Nd 3.25, 6 Pa 3.34
Nd 0.0909 0.0909 0.7274  1 Pa 3.25, 3 Hg 3.33, 6 Nd 3.34